[1]
Computed, not measured: a geometry-optimized Ni2IrBr structure at the PBE level of DFT.

The formation energy without anion corrections comes out at 0.687 eV per atom. As for the energy relative to the lowest polymorph listed for this composition: 30.9 kJ per mole of atoms.

The space group is Cmmm (No. 65) and the conventional cell measures 5.351, 7.396 and 2.860 Å, with angles of 90.00, 90.00 and 90.00 degrees. The inequivalent atoms are Ni at (0.250, 0.250, 0.000), Ir at (0.000, 0.000, 0.500) and Br at (0.000, 0.500, 0.500).

***

[2]
Computed, not measured: a geometry-optimized AuSeI2 structure at the PBE level of DFT.

The formation energy without anion corrections comes out at -0.010 eV per atom. As for the energy relative to the lowest polymorph listed for this composition: 0.0 kJ per mole of atoms.

The space group is P1 (No. 1) and the conventional cell measures 3.976, 5.640 and 7.057 Å, with angles of 89.93, 73.71 and 89.92 degrees. The inequivalent atoms are Au at (0.000, 0.000, 0.000), Se at (0.621, 0.000, 0.755), I at (0.361, 0.000, 0.281) and I at (0.653, 0.500, 0.692).

***

[3]
Computed, not measured: a geometry-optimized U2IrN structure at the PBE level of DFT.

The formation energy without anion corrections comes out at -0.459 eV per atom. As for the energy relative to the lowest polymorph listed for this composition: 20.9 kJ per mole of atoms.

The space group is P4/mmm (No. 123) and the conventional cell measures 2.977, 2.977 and 7.135 Å, with angles of 90.00, 90.00 and 90.00 degrees. The inequivalent atoms are U at (0.000, 0.000, 0.207), Ir at (0.500, 0.500, 0.500) and N at (0.500, 0.500, 0.000).

***

[4]
Computed, not measured: a geometry-optimized NaCaHf2 structure at the PBE level of DFT.

As for the energy relative to the lowest polymorph listed for this composition: 7.2 kJ per mole of atoms. The value obtained for the formation energy is 1.03 eV/atom.

The space group is I-42d (No. 122) and the conventional cell measures 8.653, 8.653 and 5.779 Å, with angles of 90.00, 90.00 and 90.00 degrees. The inequivalent atoms are Na at (0.000, 0.000, 0.000), Ca at (0.000, 0.000, 0.500) and Hf at (0.228, 0.750, 0.125).

***

[5]
Computed, not measured: a geometry-optimized Be2AgAs2 structure at the PBE level of DFT.

The value obtained for the formation energy is 0.08 eV/atom.

The space group is Pnma (No. 62) and the conventional cell measures 10.778, 3.870 and 7.949 Å, with angles of 90.00, 90.00 and 90.00 degrees. The inequivalent atoms are Be at (0.040, 0.250, 0.101), Be at (0.139, 0.250, 0.547), Ag at (0.237, 0.250, 0.847), As at (0.053, 0.750, 0.638) and As at (0.146, 0.750, 0.059).

***

[6]
Computed, not measured: a geometry-optimized Rb3TaCl8 structure at the PBE level of DFT.

The formation energy without anion corrections comes out at -1.643 eV per atom.

The space group is P6_3mc (No. 186) and the conventional cell measures 9.8819, 9.8819 and 9.4656 Å, with angles of 90.00, 90.00 and 120.00 degrees. The inequivalent atoms are Rb at (0.1532, 0.3064, 0.0000), Ta at (0.3333, 0.6667, 0.4617), Cl at (0.0000, 0.0000, 0.2645), Cl at (0.1064, 0.5532, 0.3210), Cl at (0.2199, 0.4398, 0.6094) and Cl at (0.3333, 0.6667, 0.9705).

***

Quick rundown of E, same order as above: -38.7 -9.9 -41.6 -76.5 -76.7 -98.5 eV per cell